Entry 1:
7
Lattice="-0.7222 -0.1422 -3.9961 2.9444 -2.8651 -0.4301 -5.6459 -3.3054 3.2038" Properties=species:S:1:pos:R:3 comment="Ac2TaN3O, relaxed, DFT GGA-PBE" m_tot_mub_per_fu=0.0 spacegroup="Immm, No. 71" dos_at_fermi_per_ev_cell=0.33 raw_formation_energy_mev_per_atom=-1700 dft_energy_ev_per_atom=-8.84 pbc="T T T"
N -1.4525 -1.5403 0.3173
N -1.9712 -4.7724 -1.5397
N 1.4722 -1.4325 -0.2151
O -0.3611 -0.0711 -1.9980
Ta 0.0000 0.0000 0.0000
Ac -3.1966 -3.3900 0.6984
Ac -0.2270 -2.9227 -1.9208


Entry 2:
4
Lattice="-7.9668 0.2051 -0.9168 -7.6094 -2.2340 1.2076 -7.6510 0.8457 2.2581" Properties=species:S:1:pos:R:3 comment="FeGeS2, relaxed, DFT GGA-PBE" m_tot_mub_per_fu=1.3 spacegroup="R-3m, No. 166" relative_energy_mev_per_atom=0.0 dos_at_fermi_per_ev_cell=4.44 raw_formation_energy_mev_per_atom=-152 dft_energy_ev_per_atom=-5.49 pbc="T T T"
Ge 0.0000 0.0000 0.0000
Fe -11.6136 -0.5916 1.2744
S -2.6284 -0.1339 0.2884
S -20.5989 -1.0493 2.2605


Entry 3:
8
Lattice="8.7135 0.0000 0.0000 4.3568 6.5380 -0.1903 4.3568 0.3461 6.5316" Properties=species:S:1:pos:R:3 comment="CsRbCu2I4, relaxed, DFT GGA-PBE" m_tot_mub_per_fu=0.0 spacegroup="I222, No. 23" dos_at_fermi_per_ev_cell=0.00 raw_formation_energy_mev_per_atom=-797 dft_energy_ev_per_atom=-2.82 pbc="T T T"
I 2.6444 3.2113 0.6908
I 14.7826 5.9325 3.1974
I 6.0691 0.9516 3.1439
I 11.3579 3.6728 5.6505
Rb 8.7135 3.4420 3.1706
Cu 4.3568 2.4770 2.2817
Cu 13.0703 4.4071 4.0596
Cs 0.0000 0.0000 0.0000


Entry 4:
10
Lattice="0.0000 4.4153 4.4153 4.4153 0.0000 4.4153 4.4153 4.4153 0.0000" Properties=species:S:1:pos:R:3 comment="BaCaPrBiO6, relaxed, DFT GGA-PBE" m_tot_mub_per_fu=0.0 spacegroup="F-43m, No. 216" relative_energy_mev_per_atom=140.8 dos_at_fermi_per_ev_cell=0.00 raw_formation_energy_mev_per_atom=-2170 dft_energy_ev_per_atom=-6.40 pbc="T T T"
O 4.4153 6.7196 4.4153
O 4.4153 4.4153 2.1109
O 4.4153 4.4153 6.7196
O 6.7196 4.4153 4.4153
O 4.4153 2.1109 4.4153
O 2.1109 4.4153 4.4153
Ca 6.6229 6.6229 6.6229
Ba 2.2076 2.2076 2.2076
Bi 0.0000 0.0000 0.0000
Pr 4.4153 4.4153 4.4153